(1)
# CuNiSe2 (PBE-GGA, relaxed)
# VASP energy in eV per atom: -4.234
# Crystal system: monoclinic
# Formation energy from raw total energies in meV per atom: -22
data_CuNiSe2
_symmetry_space_group_name_H-M 'C 1 2/c 1'
_symmetry_Int_Tables_number 15
_cell_length_a 8.263
_cell_length_b 11.761
_cell_length_c 3.483
_cell_angle_alpha 90.00
_cell_angle_beta 114.81
_cell_angle_gamma 90.00
loop_
_symmetry_equiv_pos_as_xyz
'x,y,z'
'-x,-y,-z'
'-x,y,-z+1/2'
'x,-y,z+1/2'
'x+1/2,y+1/2,z'
'-x+1/2,-y+1/2,-z'
'-x+1/2,y+1/2,-z+1/2'
'x+1/2,-y+1/2,z+1/2'
loop_
_atom_site_label
_atom_site_type_symbol
_atom_site_fract_x
_atom_site_fract_y
_atom_site_fract_z
Cu1 Cu 0.000 0.078 0.250
Ni1 Ni 0.000 0.416 0.750
Se1 Se 0.203 0.369 0.452

=====

(2)
# La3ScTe4 (PBE-GGA, relaxed)
# VASP energy in eV per atom: -5.650
# Crystal system: orthorhombic
# Formation energy from raw total energies in meV per atom: -1440
data_La3ScTe4
_symmetry_space_group_name_H-M 'C m m m'
_symmetry_Int_Tables_number 65
_symmetry_space_group_name_Hall '-C 2 2'
_cell_length_a 9.054
_cell_length_b 12.693
_cell_length_c 4.448
_cell_angle_alpha 90.00
_cell_angle_beta 90.00
_cell_angle_gamma 90.00
loop_
_atom_site_label
_atom_site_type_symbol
_atom_site_fract_x
_atom_site_fract_y
_atom_site_fract_z
La1 La 0.000 0.000 0.000
La2 La 0.250 0.250 0.500
Sc1 Sc 0.000 0.500 0.000
Te1 Te 0.000 0.261 0.000
Te2 Te 0.229 0.500 0.500

=====

(3)
# Pm12Er7Cd (PBE-GGA, relaxed)
# VASP energy in eV per atom: -3.802
# Crystal system: cubic
data_Pm12Er7Cd
_symmetry_space_group_name_H-M 'I m -3 m'
_symmetry_Int_Tables_number 229
_symmetry_space_group_name_Hall '-I 4 2 3'
_cell_length_a 11.513
_cell_length_b 11.513
_cell_length_c 11.513
_cell_angle_alpha 90.00
_cell_angle_beta 90.00
_cell_angle_gamma 90.00
loop_
_atom_site_label
_atom_site_type_symbol
_atom_site_fract_x
_atom_site_fract_y
_atom_site_fract_z
Pm1 Pm 0.000 0.232 0.232
Er1 Er 0.000 0.000 0.500
Er2 Er 0.250 0.250 0.250
Cd1 Cd 0.000 0.000 0.000

=====

(4)
# LaNi2BiI (PBE-GGA, relaxed)
# VASP energy in eV per atom: -3.489
# Crystal system: tetragonal
# Formation energy from raw total energies in meV per atom: 895
data_LaNi2BiI
_symmetry_space_group_name_H-M 'P 4/m m m'
_symmetry_Int_Tables_number 123
_symmetry_space_group_name_Hall '-P 4 2'
_cell_length_a 4.838
_cell_length_b 4.838
_cell_length_c 6.811
_cell_angle_alpha 90.00
_cell_angle_beta 90.00
_cell_angle_gamma 90.00
loop_
_atom_site_label
_atom_site_type_symbol
_atom_site_fract_x
_atom_site_fract_y
_atom_site_fract_z
La1 La 0.000 0.000 0.000
Ni1 Ni 0.000 0.500 0.000
Bi1 Bi 0.000 0.000 0.500
I1 I 0.500 0.500 0.500

=====

(5)
# Sn5P6O25 (PBE-GGA, relaxed)
# VASP energy in eV per atom: -6.831
# Crystal system: trigonal
# Formation energy from raw total energies in meV per atom: -1930
data_Sn5P6O25
_symmetry_space_group_name_H-M 'R -3'
_symmetry_Int_Tables_number 148
_symmetry_space_group_name_Hall '-R 3'
_cell_length_a 8.5219
_cell_length_b 8.5219
_cell_length_c 26.5352
_cell_angle_alpha 90.00
_cell_angle_beta 90.00
_cell_angle_gamma 120.00
loop_
_atom_site_label
_atom_site_type_symbol
_atom_site_fract_x
_atom_site_fract_y
_atom_site_fract_z
Sn1 Sn 0.0000 0.0000 0.0000
Sn2 Sn 0.0000 0.0000 0.1744
Sn3 Sn 0.0000 0.0000 0.4284
P1 P 0.0258 0.7324 0.9104
O1 O 0.0000 0.0000 0.5000
O2 O 0.0301 0.2298 0.4025
O3 O 0.0807 0.2173 0.7792
O4 O 0.0844 0.2283 0.1292
O5 O 0.0849 0.8570 0.9566

=====

(6)
# AgAsO4 (PBE-GGA, relaxed)
# VASP energy in eV per atom: -5.030
# Crystal system: orthorhombic
# Formation energy from raw total energies in meV per atom: -474
data_AgAsO4
_symmetry_space_group_name_H-M 'P n c 2'
_symmetry_Int_Tables_number 30
_cell_length_a 5.440
_cell_length_b 4.503
_cell_length_c 5.480
_cell_angle_alpha 90.00
_cell_angle_beta 90.00
_cell_angle_gamma 90.00
loop_
_symmetry_equiv_pos_as_xyz
'x,y,z'
'-x,-y,z'
'-x,y+1/2,z+1/2'
'x,-y+1/2,z+1/2'
loop_
_atom_site_label
_atom_site_type_symbol
_atom_site_fract_x
_atom_site_fract_y
_atom_site_fract_z
Ag1 Ag 0.000 0.000 0.000
As1 As 0.500 0.000 0.301
O1 O 0.209 0.203 0.271
O2 O 0.363 0.748 0.044

=====

(7)
# MnGe2Ir (PBE-GGA, relaxed)
# VASP energy in eV per atom: -6.966
# Crystal system: monoclinic
data_MnGe2Ir
_symmetry_space_group_name_H-M 'C 1 m 1'
_symmetry_Int_Tables_number 8
_cell_length_a 8.748
_cell_length_b 3.410
_cell_length_c 8.282
_cell_angle_alpha 90.00
_cell_angle_beta 99.56
_cell_angle_gamma 90.00
loop_
_symmetry_equiv_pos_as_xyz
'x,y,z'
'x,-y,z'
'x+1/2,y+1/2,z'
'x+1/2,-y+1/2,z'
loop_
_atom_site_label
_atom_site_type_symbol
_atom_site_fract_x
_atom_site_fract_y
_atom_site_fract_z
Mn1 Mn 0.000 0.000 0.000
Mn2 Mn 0.230 0.500 0.201
Ge1 Ge 0.023 0.000 0.289
Ge2 Ge 0.086 0.000 0.728
Ge3 Ge 0.289 0.000 0.005
Ge4 Ge 0.334 0.000 0.424
Ir1 Ir 0.133 0.500 0.506
Ir2 Ir 0.379 0.000 0.730

=====

(8)
# V2HIrRh (PBE-GGA, relaxed)
# VASP energy in eV per atom: -7.889
# Crystal system: tetragonal
data_V2HIrRh
_symmetry_space_group_name_H-M 'P 4/m m m'
_symmetry_Int_Tables_number 123
_symmetry_space_group_name_Hall '-P 4 2'
_cell_length_a 3.893
_cell_length_b 3.893
_cell_length_c 3.778
_cell_angle_alpha 90.00
_cell_angle_beta 90.00
_cell_angle_gamma 90.00
loop_
_atom_site_label
_atom_site_type_symbol
_atom_site_fract_x
_atom_site_fract_y
_atom_site_fract_z
V1 V 0.000 0.500 0.000
H1 H 0.000 0.000 0.000
Ir1 Ir 0.000 0.000 0.500
Rh1 Rh 0.500 0.500 0.500

=====

(9)
# LiCuH3Pd (PBE-GGA, relaxed)
# VASP energy in eV per atom: -3.727
# Crystal system: monoclinic
data_LiCuH3Pd
_symmetry_space_group_name_H-M 'P 1 21/m 1'
_symmetry_Int_Tables_number 11
_cell_length_a 5.004
_cell_length_b 3.026
_cell_length_c 7.109
_cell_angle_alpha 90.00
_cell_angle_beta 107.93
_cell_angle_gamma 90.00
loop_
_symmetry_equiv_pos_as_xyz
'x,y,z'
'-x,-y,-z'
'-x,y+1/2,-z'
'x,-y+1/2,z'
loop_
_atom_site_label
_atom_site_type_symbol
_atom_site_fract_x
_atom_site_fract_y
_atom_site_fract_z
Li1 Li 0.042 0.250 0.320
Cu1 Cu 0.246 0.250 0.001
H1 H 0.183 0.250 0.756
H2 H 0.195 0.750 0.111
H3 H 0.327 0.750 0.500
Pd1 Pd 0.472 0.250 0.670

=====

(10)
# YCd3Pt (PBE-GGA, relaxed)
# VASP energy in eV per atom: -1.823
# Crystal system: cubic
data_YCd3Pt
_symmetry_space_group_name_H-M 'P m -3 m'
_symmetry_Int_Tables_number 221
_symmetry_space_group_name_Hall '-P 4 2 3'
_cell_length_a 5.723
_cell_length_b 5.723
_cell_length_c 5.723
_cell_angle_alpha 90.00
_cell_angle_beta 90.00
_cell_angle_gamma 90.00
loop_
_atom_site_label
_atom_site_type_symbol
_atom_site_fract_x
_atom_site_fract_y
_atom_site_fract_z
Y1 Y 0.000 0.000 0.000
Cd1 Cd 0.000 0.000 0.500
Pt1 Pt 0.500 0.500 0.500

=====

(11)
# KAu (PBE-GGA, relaxed)
# VASP energy in eV per atom: -2.392
# Crystal system: trigonal
data_KAu
_symmetry_space_group_name_H-M 'R -3 m'
_symmetry_Int_Tables_number 166
_symmetry_space_group_name_Hall '-R 3 2"'
_cell_length_a 5.4374
_cell_length_b 5.4374
_cell_length_c 12.9702
_cell_angle_alpha 90.00
_cell_angle_beta 90.00
_cell_angle_gamma 120.00
loop_
_atom_site_label
_atom_site_type_symbol
_atom_site_fract_x
_atom_site_fract_y
_atom_site_fract_z
K1 K 0.0000 0.0000 0.1272
Au1 Au 0.0000 0.0000 0.3816

=====

(12)
# PmEr2Si2 (PBE-GGA, relaxed)
# VASP energy in eV per atom: -5.520
# Crystal system: orthorhombic
# Formation energy from raw total energies in meV per atom: -576
data_PmEr2Si2
_symmetry_space_group_name_H-M 'I m m m'
_symmetry_Int_Tables_number 71
_symmetry_space_group_name_Hall '-I 2 2'
_cell_length_a 4.400
_cell_length_b 6.374
_cell_length_c 8.458
_cell_angle_alpha 90.00
_cell_angle_beta 90.00
_cell_angle_gamma 90.00
loop_
_atom_site_label
_atom_site_type_symbol
_atom_site_fract_x
_atom_site_fract_y
_atom_site_fract_z
Pm1 Pm 0.000 0.000 0.000
Er1 Er 0.000 0.500 0.198
Si1 Si 0.000 0.193 0.500

=====

(13)
# TbTm4Zn (PBE-GGA, relaxed)
# VASP energy in eV per atom: -3.591
# Crystal system: tetragonal
data_TbTm4Zn
_symmetry_space_group_name_H-M 'P 4/m m m'
_symmetry_Int_Tables_number 123
_symmetry_space_group_name_Hall '-P 4 2'
_cell_length_a 4.713
_cell_length_b 4.713
_cell_length_c 8.877
_cell_angle_alpha 90.00
_cell_angle_beta 90.00
_cell_angle_gamma 90.00
loop_
_atom_site_label
_atom_site_type_symbol
_atom_site_fract_x
_atom_site_fract_y
_atom_site_fract_z
Tb1 Tb 0.000 0.000 0.000
Tm1 Tm 0.000 0.500 0.305
Zn1 Zn 0.500 0.500 0.500

=====

(14)
# LiTe (PBE-GGA, relaxed)
# VASP energy in eV per atom: -3.100
# Crystal system: hexagonal
# Formation energy from raw total energies in meV per atom: -572
data_LiTe
_symmetry_space_group_name_H-M 'P -6 m 2'
_symmetry_Int_Tables_number 187
_symmetry_space_group_name_Hall 'P -6 2'
_cell_length_a 3.5702
_cell_length_b 3.5702
_cell_length_c 4.2659
_cell_angle_alpha 90.00
_cell_angle_beta 90.00
_cell_angle_gamma 120.00
loop_
_atom_site_label
_atom_site_type_symbol
_atom_site_fract_x
_atom_site_fract_y
_atom_site_fract_z
Li1 Li 0.0000 0.0000 0.0000
Te1 Te 0.6667 0.3333 0.5000

=====

(15)
# LiRhSCl2 (PBE-GGA, relaxed)
# VASP energy in eV per atom: -3.467
# Crystal system: tetragonal
# Formation energy from raw total energies in meV per atom: -50
data_LiRhSCl2
_symmetry_space_group_name_H-M 'P 4/m m m'
_symmetry_Int_Tables_number 123
_symmetry_space_group_name_Hall '-P 4 2'
_cell_length_a 5.421
_cell_length_b 5.421
_cell_length_c 4.269
_cell_angle_alpha 90.00
_cell_angle_beta 90.00
_cell_angle_gamma 90.00
loop_
_atom_site_label
_atom_site_type_symbol
_atom_site_fract_x
_atom_site_fract_y
_atom_site_fract_z
Li1 Li 0.000 0.000 0.000
Rh1 Rh 0.500 0.500 0.000
S1 S 0.500 0.500 0.500
Cl1 Cl 0.000 0.500 0.500

=====

(16)
# KU2AgSe5 (PBE-GGA, relaxed)
# VASP energy in eV per atom: -5.887
# Crystal system: tetragonal
# Formation energy from raw total energies in meV per atom: -1003
data_KU2AgSe5
_symmetry_space_group_name_H-M 'I 4/m c m'
_symmetry_Int_Tables_number 140
_symmetry_space_group_name_Hall '-I 4 2c'
_cell_length_a 7.868
_cell_length_b 7.868
_cell_length_c 15.532
_cell_angle_alpha 90.00
_cell_angle_beta 90.00
_cell_angle_gamma 90.00
loop_
_atom_site_label
_atom_site_type_symbol
_atom_site_fract_x
_atom_site_fract_y
_atom_site_fract_z
K1 K 0.000 0.000 0.250
U1 U 0.157 0.343 0.000
Ag1 Ag 0.000 0.500 0.250
Se1 Se 0.000 0.000 0.000
Se2 Se 0.149 0.351 0.382

=====

(17)
# ReHRu2W (PBE-GGA, relaxed)
# VASP energy in eV per atom: -9.439
# Crystal system: tetragonal
data_ReHRu2W
_symmetry_space_group_name_H-M 'P 4/m m m'
_symmetry_Int_Tables_number 123
_symmetry_space_group_name_Hall '-P 4 2'
_cell_length_a 3.922
_cell_length_b 3.922
_cell_length_c 3.951
_cell_angle_alpha 90.00
_cell_angle_beta 90.00
_cell_angle_gamma 90.00
loop_
_atom_site_label
_atom_site_type_symbol
_atom_site_fract_x
_atom_site_fract_y
_atom_site_fract_z
Re1 Re 0.000 0.000 0.000
H1 H 0.000 0.000 0.500
Ru1 Ru 0.000 0.500 0.500
W1 W 0.500 0.500 0.000

=====

(18)
# AgTe2Pd7 (PBE-GGA, relaxed)
# VASP energy in eV per atom: -4.728
# Crystal system: tetragonal
# Formation energy from raw total energies in meV per atom: -180
data_AgTe2Pd7
_symmetry_space_group_name_H-M 'I 4/m m m'
_symmetry_Int_Tables_number 139
_symmetry_space_group_name_Hall '-I 4 2'
_cell_length_a 4.046
_cell_length_b 4.046
_cell_length_c 22.579
_cell_angle_alpha 90.00
_cell_angle_beta 90.00
_cell_angle_gamma 90.00
loop_
_atom_site_label
_atom_site_type_symbol
_atom_site_fract_x
_atom_site_fract_y
_atom_site_fract_z
Ag1 Ag 0.000 0.000 0.000
Te1 Te 0.000 0.000 0.334
Pd1 Pd 0.000 0.000 0.500
Pd2 Pd 0.000 0.500 0.089
Pd3 Pd 0.000 0.500 0.250

=====

(19)
# PrNd4YSe8 (PBE-GGA, relaxed)
# VASP energy in eV per atom: -5.884
# Crystal system: trigonal
# Formation energy from raw total energies in meV per atom: -1728
data_PrNd4YSe8
_symmetry_space_group_name_H-M 'R 3 m'
_symmetry_Int_Tables_number 160
_symmetry_space_group_name_Hall 'R 3 -2"'
_cell_length_a 8.6707
_cell_length_b 8.6707
_cell_length_c 21.2705
_cell_angle_alpha 90.00
_cell_angle_beta 90.00
_cell_angle_gamma 120.00
loop_
_atom_site_label
_atom_site_type_symbol
_atom_site_fract_x
_atom_site_fract_y
_atom_site_fract_z
Pr1 Pr 0.0000 0.0000 0.0000
Nd1 Nd 0.0000 0.0000 0.6236
Nd2 Nd 0.1686 0.3373 0.8312
Y1 Y 0.0000 0.0000 0.3731
Se1 Se 0.0000 0.0000 0.2440
Se2 Se 0.0000 0.0000 0.7567
Se3 Se 0.0095 0.5048 0.7505
Se4 Se 0.1769 0.3539 0.5784

=====

(20)
# Ag2RuCl5 (PBE-GGA, relaxed)
# VASP energy in eV per atom: -3.430
# Crystal system: triclinic
# Formation energy from raw total energies in meV per atom: -404
data_Ag2RuCl5
_symmetry_space_group_name_H-M 'P 1'
_symmetry_Int_Tables_number 1
_cell_length_a 4.641
_cell_length_b 7.155
_cell_length_c 7.302
_cell_angle_alpha 84.55
_cell_angle_beta 71.79
_cell_angle_gamma 74.31
loop_
_symmetry_equiv_pos_as_xyz
'x,y,z'
loop_
_atom_site_label
_atom_site_type_symbol
_atom_site_fract_x
_atom_site_fract_y
_atom_site_fract_z
Ag1 Ag 0.000 0.000 0.000
Ag2 Ag 0.143 0.361 0.435
Ru1 Ru 0.371 0.477 0.891
Cl1 Cl 0.155 0.650 0.181
Cl2 Cl 0.334 0.767 0.717
Cl3 Cl 0.405 0.171 0.081
Cl4 Cl 0.596 0.296 0.588
Cl5 Cl 0.908 0.411 0.872